This record from OQMD describes an optimized crystal structure of Nb4InSnC2. The functional is PBE-GGA.

Cell and atoms, written as POSCAR:
```
Nb4InSnC2
1.0
3.231 0.000 0.000
-1.615 2.798 0.000
0.000 0.000 14.206
Nb In Sn C
4 1 1 2
direct
0.000 0.000 0.164 Nb
0.000 0.000 0.836 Nb
0.667 0.333 0.331 Nb
0.667 0.333 0.669 Nb
0.000 0.000 0.500 In
0.667 0.333 0.000 Sn
0.333 0.667 0.248 C
0.333 0.667 0.752 C
```

Calculated values
Raw total energy ... -8.61 eV per atom
Symmetry ... P-6m2

---

This record from OQMD describes an optimized crystal structure of GdGeH2O4. The functional is PBE-GGA.

Cell and atoms, written as POSCAR:
```
GdGeH2O4
1.0
0.000 5.107 3.430
5.048 0.000 3.430
5.048 5.107 0.000
Gd Ge H O
2 2 4 8
direct
0.000 0.000 0.000 Gd
0.250 0.250 0.250 Gd
0.533 0.533 0.467 Ge
0.783 0.783 0.717 Ge
0.145 0.579 0.833 H
0.417 0.808 0.105 H
0.579 0.145 0.442 H
0.808 0.417 0.671 H
0.025 0.898 0.721 O
0.243 0.404 0.864 O
0.386 0.761 0.007 O
0.404 0.243 0.489 O
0.529 0.894 0.225 O
0.761 0.386 0.846 O
0.894 0.529 0.352 O
0.898 0.025 0.356 O
```

Calculated values
Raw total energy ... -6.26 eV per atom
E above lowest polymorph ... 0 meV/atom
Symmetry ... Fdd2

---

This record from OQMD describes an optimized crystal structure of Cu5SbPb. The functional is PBE-GGA.

Cell and atoms, written as POSCAR:
```
Cu5SbPb
1.0
-3.309 4.679 2.525
3.309 -4.679 2.525
3.309 4.679 -2.525
Cu Sb Pb
5 1 1
direct
0.000 0.000 0.000 Cu
0.025 0.251 0.774 Cu
0.237 0.557 0.320 Cu
0.237 0.917 0.680 Cu
0.477 0.251 0.226 Cu
0.519 0.519 0.000 Sb
0.739 0.239 0.500 Pb
```

Calculated values
Raw total energy ... -3.25 eV per atom
Symmetry ... Imm2

---

This record from OQMD describes an optimized crystal structure of PuF. The functional is PBE-GGA.

Cell and atoms, written as POSCAR:
```
PuF
1.0
0.000 2.609 2.609
2.609 0.000 2.609
2.609 2.609 0.000
Pu F
1 1
direct
0.000 0.000 0.000 Pu
0.500 0.500 0.500 F
```

Calculated values
Raw total energy ... -9.92 eV per atom
E above lowest polymorph ... 174 meV/atom
Symmetry ... Fm-3m

---

This record from OQMD describes an optimized crystal structure of BaCu2NiSe4. The functional is PBE-GGA.

Cell and atoms, written as POSCAR:
```
BaCu2NiSe4
1.0
-3.177 3.207 4.721
3.177 -3.207 4.721
3.177 3.207 -4.721
Ba Cu Ni Se
1 2 1 4
direct
0.000 0.000 0.000 Ba
0.255 0.755 0.500 Cu
0.745 0.245 0.500 Cu
0.500 0.500 0.000 Ni
0.145 0.148 0.639 Se
0.491 0.852 0.997 Se
0.509 0.506 0.361 Se
0.855 0.494 0.003 Se
```

Calculated values
Raw total energy ... -4.14 eV per atom
Symmetry ... I222

---

This record from OQMD describes an optimized crystal structure of BaMgFeMo. The functional is PBE-GGA.

Cell and atoms, written as POSCAR:
```
BaMgFeMo
1.0
0.000 3.411 3.411
3.411 0.000 3.411
3.411 3.411 0.000
Ba Mg Fe Mo
1 1 1 1
direct
0.000 0.000 0.000 Ba
0.250 0.250 0.250 Mg
0.500 0.500 0.500 Fe
0.750 0.750 0.750 Mo
```

Calculated values
Raw total energy ... -4.50 eV per atom
E above lowest polymorph ... 86 meV/atom
Symmetry ... F-43m

---

This record from OQMD describes an optimized crystal structure of CsPrCdTe3. The functional is PBE-GGA.

Cell and atoms, written as POSCAR:
```
CsPrCdTe3
1.0
2.317 -8.594 0.000
2.317 8.594 0.000
0.000 0.000 12.116
Cs Pr Cd Te
2 2 2 6
direct
0.249 0.751 0.750 Cs
0.751 0.249 0.250 Cs
0.500 0.500 0.000 Pr
0.500 0.500 0.500 Pr
0.037 0.963 0.250 Cd
0.963 0.037 0.750 Cd
0.125 0.875 0.053 Te
0.125 0.875 0.447 Te
0.433 0.567 0.250 Te
0.567 0.433 0.750 Te
0.875 0.125 0.553 Te
0.875 0.125 0.947 Te
```

Calculated values
Raw total energy ... -3.78 eV per atom
Symmetry ... Cmcm

---

This record from OQMD describes an optimized crystal structure of Ta4SiSN2. The functional is PBE-GGA.

Cell and atoms, written as POSCAR:
```
Ta4SiSN2
1.0
3.077 0.000 0.000
-1.538 2.664 0.000
0.000 0.000 12.887
Ta Si S N
4 1 1 2
direct
0.000 0.000 0.141 Ta
0.000 0.000 0.859 Ta
0.333 0.667 0.346 Ta
0.333 0.667 0.654 Ta
0.000 0.000 0.500 Si
0.333 0.667 0.000 S
0.667 0.333 0.246 N
0.667 0.333 0.754 N
```

Calculated values
Raw total energy ... -9.82 eV per atom
Symmetry ... P-6m2

---

This record from OQMD describes an optimized crystal structure of Gd2HoGa3CuGe2. The functional is PBE-GGA.

Cell and atoms, written as POSCAR:
```
Gd2HoGa3CuGe2
1.0
4.169 0.000 0.000
0.000 6.103 3.537
0.000 -6.103 3.537
Gd Ho Ga Cu Ge
2 1 3 1 2
direct
0.000 0.200 0.800 Gd
0.000 0.800 0.200 Gd
0.000 0.601 0.601 Ho
0.500 0.201 0.435 Ga
0.500 0.435 0.201 Ga
0.500 0.967 0.967 Ga
0.000 0.205 0.205 Cu
0.500 0.535 0.865 Ge
0.500 0.865 0.535 Ge
```

Calculated values
Raw total energy ... -4.65 eV per atom
Symmetry ... Amm2

---

This record from OQMD describes an optimized crystal structure of NaHgSbPd. The functional is PBE-GGA.

Cell and atoms, written as POSCAR:
```
NaHgSbPd
1.0
0.000 3.455 3.455
3.455 0.000 3.455
3.455 3.455 0.000
Na Hg Sb Pd
1 1 1 1
direct
0.000 0.000 0.000 Na
0.250 0.250 0.250 Hg
0.750 0.750 0.750 Sb
0.500 0.500 0.500 Pd
```

Calculated values
Raw total energy ... -2.92 eV per atom
E above lowest polymorph ... 0 meV/atom
Symmetry ... F-43m

---

This record from OQMD describes an optimized crystal structure of NbCoCuB. The functional is PBE-GGA.

Cell and atoms, written as POSCAR:
```
NbCoCuB
1.0
0.000 2.857 2.857
2.857 0.000 2.857
2.857 2.857 0.000
Nb Co Cu B
1 1 1 1
direct
0.000 0.000 0.000 Nb
0.750 0.750 0.750 Co
0.500 0.500 0.500 Cu
0.250 0.250 0.250 B
```

Calculated values
Raw total energy ... -6.69 eV per atom
E above lowest polymorph ... 0 meV/atom
Symmetry ... F-43m

---

This record from OQMD describes an optimized crystal structure of SmHgSeO. The functional is PBE-GGA.

Cell and atoms, written as POSCAR:
```
SmHgSeO
1.0
4.083 0.000 0.000
0.000 4.083 0.000
0.000 0.000 10.099
Sm Hg Se O
2 2 2 2
direct
0.250 0.250 0.110 Sm
0.750 0.750 0.890 Sm
0.250 0.750 0.500 Hg
0.750 0.250 0.500 Hg
0.250 0.250 0.736 Se
0.750 0.750 0.264 Se
0.250 0.750 0.000 O
0.750 0.250 0.000 O
```

Calculated values
Raw total energy ... -5.09 eV per atom
E above lowest polymorph ... 112 meV/atom
Symmetry ... P4/nmm

---

This record from OQMD describes an optimized crystal structure of PrMgGa. The functional is PBE-GGA.

Cell and atoms, written as POSCAR:
```
PrMgGa
1.0
0.000 3.445 3.445
3.445 0.000 3.445
3.445 3.445 0.000
Pr Mg Ga
1 1 1
direct
0.000 0.000 0.000 Pr
0.500 0.500 0.500 Mg
0.750 0.750 0.750 Ga
```

Calculated values
Raw total energy ... -3.49 eV per atom
E above lowest polymorph ... 114 meV/atom
Symmetry ... F-43m

---

This record from OQMD describes an optimized crystal structure of Pr3In10Ni. The functional is PBE-GGA.

Cell and atoms, written as POSCAR:
```
Pr3In10Ni
1.0
4.444 0.000 0.000
0.000 4.751 0.000
0.000 0.000 17.563
Pr In Ni
3 10 1
direct
0.000 0.000 0.000 Pr
0.000 0.500 0.247 Pr
0.000 0.500 0.753 Pr
0.000 0.000 0.418 In
0.000 0.000 0.582 In
0.500 0.000 0.155 In
0.500 0.000 0.310 In
0.500 0.000 0.690 In
0.500 0.000 0.845 In
0.500 0.500 0.079 In
0.500 0.500 0.414 In
0.500 0.500 0.586 In
0.500 0.500 0.921 In
0.000 0.500 0.500 Ni
```

Calculated values
Raw total energy ... -3.66 eV per atom
Symmetry ... Pmmm

---

This record from OQMD describes an optimized crystal structure of Zr4Cd2BN. The functional is PBE-GGA.

Cell and atoms, written as POSCAR:
```
Zr4Cd2BN
1.0
3.363 0.000 0.000
-1.682 2.913 0.000
0.000 0.000 15.218
Zr Cd B N
4 2 1 1
direct
0.333 0.667 0.087 Zr
0.333 0.667 0.421 Zr
0.667 0.333 0.579 Zr
0.667 0.333 0.913 Zr
0.333 0.667 0.743 Cd
0.667 0.333 0.257 Cd
0.000 0.000 0.000 B
0.000 0.000 0.500 N
```

Calculated values
Raw total energy ... -6.98 eV per atom
Symmetry ... P-3m1

---

This record from OQMD describes an optimized crystal structure of NaPrSeO. The functional is PBE-GGA.

Cell and atoms, written as POSCAR:
```
NaPrSeO
1.0
4.143 0.000 0.000
0.000 4.143 0.000
0.000 0.000 9.683
Na Pr Se O
2 2 2 2
direct
0.250 0.750 0.000 Na
0.750 0.250 0.000 Na
0.250 0.250 0.380 Pr
0.750 0.750 0.620 Pr
0.250 0.250 0.800 Se
0.750 0.750 0.200 Se
0.250 0.750 0.500 O
0.750 0.250 0.500 O
```

Calculated values
Raw total energy ... -5.82 eV per atom
E above lowest polymorph ... 4 meV/atom
Symmetry ... P4/nmm

---

This record from OQMD describes an optimized crystal structure of Re11W2. The functional is PBE-GGA.

Cell and atoms, written as POSCAR:
```
Re11W2
1.0
2.529 1.460 9.110
-2.529 1.460 9.110
0.000 -2.921 9.110
Re W
11 2
direct
0.000 0.000 0.000 Re
0.092 0.092 0.584 Re
0.092 0.584 0.092 Re
0.166 0.166 0.166 Re
0.349 0.349 0.349 Re
0.416 0.908 0.908 Re
0.584 0.092 0.092 Re
0.651 0.651 0.651 Re
0.834 0.834 0.834 Re
0.908 0.416 0.908 Re
0.908 0.908 0.416 Re
0.454 0.454 0.454 W
0.546 0.546 0.546 W
```

Calculated values
Energy of formation from the pure elements ... 231 meV per atom
Raw total energy ... -12.27 eV per atom
E above lowest polymorph ... 76 meV/atom
Symmetry ... R-3m

---

This record from OQMD describes an optimized crystal structure of LaTbSi2I2. The functional is PBE-GGA.

Cell and atoms, written as POSCAR:
```
LaTbSi2I2
1.0
4.180 0.000 0.000
-2.090 3.620 0.000
0.000 0.000 12.526
La Tb Si I
1 1 2 2
direct
0.000 0.000 0.000 La
0.000 0.000 0.315 Tb
0.333 0.667 0.171 Si
0.667 0.333 0.158 Si
0.333 0.667 0.823 I
0.667 0.333 0.477 I
```

Calculated values
Raw total energy ... -5.00 eV per atom
Symmetry ... P3m1

---

This record from OQMD describes an optimized crystal structure of CsGdTlTe3. The functional is PBE-GGA.

Cell and atoms, written as POSCAR:
```
CsGdTlTe3
1.0
2.319 -8.548 0.000
2.319 8.548 0.000
0.000 0.000 12.298
Cs Gd Tl Te
2 2 2 6
direct
0.249 0.751 0.750 Cs
0.751 0.249 0.250 Cs
0.500 0.500 0.000 Gd
0.500 0.500 0.500 Gd
0.057 0.943 0.250 Tl
0.943 0.057 0.750 Tl
0.125 0.875 0.023 Te
0.125 0.875 0.477 Te
0.443 0.557 0.250 Te
0.557 0.443 0.750 Te
0.875 0.125 0.523 Te
0.875 0.125 0.977 Te
```

Calculated values
Raw total energy ... -3.79 eV per atom
E above lowest polymorph ... 33 meV/atom
Symmetry ... Cmcm

---

| no. | calculated volume (Å³ per atom) |
| --- | --- |
| 1 | 16.1 |
| 2 | 11.1 |
| 3 | 22.3 |
| 4 | 17.8 |
| 5 | 24.0 |
| 6 | 19.8 |
| 7 | 40.2 |
| 8 | 13.2 |
| 9 | 20.0 |
| 10 | 20.6 |
| 11 | 11.7 |
| 12 | 21.0 |
| 13 | 27.3 |
| 14 | 26.5 |
| 15 | 18.6 |
| 16 | 20.8 |
| 17 | 15.5 |
| 18 | 31.6 |
| 19 | 40.6 |